Compound: Hf8P2C3
Source: Alexandria
Functional: PBE-GGA
Structure: relaxed

- total magnetic moment (Bohr magnetons per cell) = 0.00
- SG = C2/m
- energy relative to the elements (eV/atom) = -0.72
- DOS at the Fermi energy (states/eV per cell) = 7.2

Lattice parameters (Å, degrees): 6.972 6.972 5.874 104.69 104.69 57.28
Atoms (fractional coordinates):
Hf1 0.101 0.101 0.414
Hf2 0.148 0.644 0.107
Hf3 0.356 0.852 0.893
Hf4 0.395 0.395 0.604
Hf5 0.605 0.605 0.396
Hf6 0.644 0.148 0.107
Hf7 0.852 0.356 0.893
Hf8 0.899 0.899 0.586
P1 0.247 0.247 0.178
P2 0.753 0.753 0.822
C1 0.262 0.738 0.500
C2 0.500 0.500 0.000
C3 0.738 0.262 0.500